1.
Compound: Dy2Ga3Pd5
Source: Alexandria via LeMat-Bulk
Functional: PBE
Structure: relaxed

Cell lengths 12.6554, 12.6554, 6.7723 Å; angles 90.00, 90.00, 160.91 degrees
Element x y z (fractional)
Dy (0.0262, 0.9738, 0.5000)
Dy (0.3242, 0.6758, 0.5480)
Dy (0.6758, 0.3242, 0.0480)
Dy (0.9738, 0.0262, 0.0000)
Ga (0.1263, 0.8737, 0.7284)
Ga (0.2834, 0.7166, 0.0973)
Ga (0.4570, 0.5430, 0.6909)
Ga (0.5430, 0.4570, 0.1909)
Ga (0.7166, 0.2834, 0.5973)
Ga (0.8737, 0.1263, 0.2284)
Pd (0.0973, 0.9027, 0.1251)
Pd (0.1962, 0.8038, 0.3664)
Pd (0.2266, 0.7734, 0.7962)
Pd (0.3818, 0.6182, 0.9556)
Pd (0.4417, 0.5583, 0.3161)
Pd (0.5583, 0.4417, 0.8161)
Pd (0.6182, 0.3818, 0.4556)
Pd (0.7734, 0.2266, 0.2962)
Pd (0.8038, 0.1962, 0.8664)
Pd (0.9027, 0.0973, 0.6251)

## Properties
Energy of formation = -0.82 eV per atom
Energy relative to the lowest polymorph listed for this composition = 0 meV per atom

***

2.
Compound: Dy2Ga12Pd
Source: Alexandria via LeMat-Bulk
Functional: PBE
Structure: relaxed

Cell lengths 6.1310, 6.1310, 15.2917 Å; angles 90.00, 90.00, 90.00 degrees
Element x y z (fractional)
Dy (0.2500, 0.7500, 0.2418)
Dy (0.2500, 0.7500, 0.7582)
Dy (0.7500, 0.2500, 0.2418)
Dy (0.7500, 0.2500, 0.7582)
Ga (0.0001, 0.9999, 0.0909)
Ga (0.9999, 0.0001, 0.9091)
Ga (0.9999, 0.4999, 0.0909)
Ga (0.0001, 0.5001, 0.9091)
Ga (0.0852, 0.5852, 0.4309)
Ga (0.0852, 0.9148, 0.5691)
Ga (0.2500, 0.2500, 0.1888)
Ga (0.2500, 0.2500, 0.3479)
Ga (0.2500, 0.2500, 0.6521)
Ga (0.2500, 0.2500, 0.8112)
Ga (0.4148, 0.5852, 0.5691)
Ga (0.4148, 0.9148, 0.4309)
Ga (0.5001, 0.0001, 0.0909)
Ga (0.4999, 0.9999, 0.9091)
Ga (0.4999, 0.5001, 0.0909)
Ga (0.5001, 0.4999, 0.9091)
Ga (0.5852, 0.0852, 0.5691)
Ga (0.5852, 0.4148, 0.4309)
Ga (0.7500, 0.7500, 0.1888)
Ga (0.7500, 0.7500, 0.3479)
Ga (0.7500, 0.7500, 0.6521)
Ga (0.7500, 0.7500, 0.8112)
Ga (0.9148, 0.0852, 0.4309)
Ga (0.9148, 0.4148, 0.5691)
Pd (0.2500, 0.7500, 0.0000)
Pd (0.7500, 0.2500, 0.0000)

## Properties
Energy of formation = -0.38 eV per atom

***

Result set for density of states at the Fermi level: 8.63, 8.96 states/eV per cell, one per record in the order listed.